# Zr3TlPt

Zr3TlPt after structural relaxation (PBE, Alexandria).

Cell lengths 5.119, 5.119, 5.119 Å; angles 90.00, 90.00, 90.00 degrees
Space group Pm-3m (No. 221)
Unique sites:
Zr: 0.000 0.000 0.500 x3
Tl: 0.500 0.500 0.500 x1
Pt: 0.000 0.000 0.000 x1

Computed properties:
The formation energy comes out at 0.0791 eV/atom. The energy is -6.731 eV per atom.